First-principles (PBE with a Hubbard U) data for a relaxed structure of MnTe2O, as listed in the Alexandria database.

a = 4.3322 Å, b = 4.3322 Å, c = 20.5544 Å
α = 90.00°, β = 90.00°, γ = 120.00°
Space group R-3m (No. 166, hexagonal axes)
One atom of each set of equivalent atoms:
Mn: 0.0000 0.0000 0.0000 x3
Te: 0.0000 0.0000 0.4015 x6
O: 0.0000 0.0000 0.5000 x3

uncorrected energy	-4.82	eV/atom
crystal system	trigonal